Entry 1:
Below is a relaxed Ti2CuS4 crystal, with properties calculated at the GGA-PBEsol level.

a b c (Å): 6.979 6.979 6.979
angles (deg): 60.00 60.00 60.00
Fractional positions:
Ti: 0.000 0.000 0.000
Ti: 0.000 0.000 0.500
Ti: 0.000 0.500 0.000
Ti: 0.500 0.000 0.000
Cu: 0.375 0.375 0.375
Cu: 0.625 0.625 0.625
S: 0.238 0.754 0.754
S: 0.246 0.246 0.246
S: 0.246 0.246 0.762
S: 0.246 0.762 0.246
S: 0.754 0.238 0.754
S: 0.754 0.754 0.238
S: 0.754 0.754 0.754
S: 0.762 0.246 0.246

Summary:
Energy in eV per atom: -6.71
Space group: Fd-3m



Entry 2:
Below is a relaxed BeReW2 crystal, with properties calculated at the GGA-PBEsol level.

a b c (Å): 4.690 4.690 2.758
angles (deg): 90.00 90.00 110.80
Fractional positions:
Be: 0.000 0.000 0.000
Re: 0.500 0.500 0.000
W: 0.000 0.500 0.500
W: 0.500 0.000 0.500

Summary:
Space group: Cmmm
E_form in eV per atom: 0.30



Repeat the second record exactly.
Below is a relaxed BeReW2 crystal, with properties calculated at the GGA-PBEsol level.

a b c (Å): 4.690 4.690 2.758
angles (deg): 90.00 90.00 110.80
Fractional positions:
Be: 0.000 0.000 0.000
Re: 0.500 0.500 0.000
W: 0.000 0.500 0.500
W: 0.500 0.000 0.500

Summary:
Space group: Cmmm
E_form in eV per atom: 0.30